Entry 1:
# BPRhS2

An optimized crystal structure of BPRhS2 (PBE, Alexandria via LeMat-Bulk).

a = 4.119 Å, b = 4.119 Å, c = 3.981 Å
α = 90.00°, β = 90.00°, γ = 90.00°
Positions (direct):
B: 0.000 0.000 0.000
P: 0.000 0.000 0.500
Rh: 0.500 0.500 0.500
S: 0.000 0.500 0.000
S: 0.500 0.000 0.000

formation energy (no corrections): 0.76 eV/atom

Entry 2:
# BPRhS2

An optimized crystal structure of BPRhS2 (PBE, Alexandria via LeMat-Bulk).

a = 4.827 Å, b = 4.827 Å, c = 4.346 Å
α = 90.00°, β = 90.00°, γ = 90.00°
Positions (direct):
B: 0.000 0.000 0.000
P: 0.500 0.500 0.000
Rh: 0.500 0.500 0.500
S: 0.000 0.500 0.500
S: 0.500 0.000 0.500

formation energy (no corrections): 1.36 eV/atom

Entry 3:
# BP2RhS

An optimized crystal structure of BP2RhS (PBE, Alexandria via LeMat-Bulk).

a = 4.471 Å, b = 4.471 Å, c = 3.564 Å
α = 90.00°, β = 90.00°, γ = 90.00°
Positions (direct):
B: 0.000 0.000 0.000
P: 0.000 0.500 0.500
P: 0.500 0.000 0.500
Rh: 0.500 0.500 0.000
S: 0.000 0.000 0.500

formation energy (no corrections): 1.06 eV/atom

Entry 4:
# BP2RhS

An optimized crystal structure of BP2RhS (PBE, Alexandria via LeMat-Bulk).

a = 4.451 Å, b = 4.451 Å, c = 5.081 Å
α = 90.00°, β = 90.00°, γ = 90.00°
Positions (direct):
B: 0.000 0.000 0.000
P: 0.000 0.500 0.500
P: 0.500 0.000 0.500
Rh: 0.500 0.500 0.500
S: 0.500 0.500 0.000

formation energy (no corrections): 1.40 eV/atom

Entry 5:
# BP2RhS

An optimized crystal structure of BP2RhS (PBE, Alexandria via LeMat-Bulk).

a = 3.990 Å, b = 3.990 Å, c = 4.181 Å
α = 90.00°, β = 90.00°, γ = 90.00°
Positions (direct):
B: 0.000 0.000 0.000
P: 0.000 0.500 0.000
P: 0.500 0.000 0.000
Rh: 0.500 0.500 0.500
S: 0.000 0.000 0.500

formation energy (no corrections): 0.71 eV/atom

Entry 6:
# SiB2PRh

An optimized crystal structure of SiB2PRh (PBE, Alexandria via LeMat-Bulk).

a = 3.732 Å, b = 3.732 Å, c = 4.751 Å
α = 90.00°, β = 90.00°, γ = 90.00°
Positions (direct):
Si: 0.000 0.000 0.000
B: 0.000 0.500 0.500
B: 0.500 0.000 0.500
P: 0.000 0.000 0.500
Rh: 0.500 0.500 0.000

formation energy (no corrections): 1.14 eV/atom

Entry 7:
# Sn2BPRh

An optimized crystal structure of Sn2BPRh (PBE, Alexandria via LeMat-Bulk).

a = 5.363 Å, b = 5.363 Å, c = 3.397 Å
α = 90.00°, β = 90.00°, γ = 90.00°
Positions (direct):
Sn: 0.000 0.500 0.000
Sn: 0.500 0.000 0.000
B: 0.000 0.000 0.500
P: 0.000 0.000 0.000
Rh: 0.500 0.500 0.500

calculated formation energy: 0.751 eV per atom

Entry 8:
# SrBPRh3

An optimized crystal structure of SrBPRh3 (PBE, Alexandria via LeMat-Bulk).

a = 6.659 Å, b = 6.659 Å, c = 5.781 Å
α = 90.00°, β = 90.00°, γ = 128.57°
Positions (direct):
Sr: 0.249 0.751 0.750
Sr: 0.751 0.249 0.250
B: 0.468 0.532 0.250
B: 0.532 0.468 0.750
P: 0.108 0.892 0.250
P: 0.892 0.108 0.750
Rh: 0.248 0.248 0.000
Rh: 0.248 0.248 0.500
Rh: 0.297 0.703 0.250
Rh: 0.703 0.297 0.750
Rh: 0.752 0.752 0.000
Rh: 0.752 0.752 0.500

calculated formation energy: -0.612 eV per atom

Entry 9:
# TaB2PRh

An optimized crystal structure of TaB2PRh (PBE, Alexandria via LeMat-Bulk).

a = 3.858 Å, b = 3.858 Å, c = 5.009 Å
α = 90.00°, β = 90.00°, γ = 90.00°
Positions (direct):
Ta: 0.000 0.000 0.000
B: 0.000 0.500 0.500
B: 0.500 0.000 0.500
P: 0.500 0.500 0.000
Rh: 0.500 0.500 0.500

calculated formation energy: 1.007 eV per atom

Entry 10:
# TbBPRh3

An optimized crystal structure of TbBPRh3 (PBE, Alexandria via LeMat-Bulk).

a = 6.461 Å, b = 6.461 Å, c = 5.638 Å
α = 90.00°, β = 90.00°, γ = 126.92°
Positions (direct):
Tb: 0.236 0.764 0.750
Tb: 0.764 0.236 0.250
B: 0.495 0.505 0.250
B: 0.505 0.495 0.750
P: 0.121 0.879 0.250
P: 0.879 0.121 0.750
Rh: 0.239 0.239 0.000
Rh: 0.239 0.239 0.500
Rh: 0.313 0.687 0.250
Rh: 0.687 0.313 0.750
Rh: 0.761 0.761 0.000
Rh: 0.761 0.761 0.500

calculated formation energy: -0.760 eV per atom

Entry 11:
# Tb3BP2Rh9

An optimized crystal structure of Tb3BP2Rh9 (PBE, Alexandria via LeMat-Bulk).

a = 6.247 Å, b = 6.247 Å, c = 7.384 Å
α = 90.00°, β = 90.00°, γ = 120.00°
Positions (direct):
Tb: 0.000 0.000 0.000
Tb: 0.333 0.667 0.662
Tb: 0.667 0.333 0.338
B: 0.000 0.000 0.500
P: 0.333 0.667 0.185
P: 0.667 0.333 0.815
Rh: 0.000 0.500 0.000
Rh: 0.156 0.311 0.335
Rh: 0.156 0.844 0.335
Rh: 0.311 0.156 0.665
Rh: 0.500 0.000 0.000
Rh: 0.500 0.500 0.000
Rh: 0.689 0.844 0.335
Rh: 0.844 0.156 0.665
Rh: 0.844 0.689 0.665

calculated formation energy: -0.783 eV per atom

Entry 12:
# YBPRh3

An optimized crystal structure of YBPRh3 (PBE, Alexandria via LeMat-Bulk).

a = 6.458 Å, b = 6.458 Å, c = 5.633 Å
α = 90.00°, β = 90.00°, γ = 126.83°
Positions (direct):
Y: 0.236 0.764 0.750
Y: 0.764 0.236 0.250
B: 0.496 0.504 0.250
B: 0.504 0.496 0.750
P: 0.121 0.879 0.250
P: 0.879 0.121 0.750
Rh: 0.239 0.239 0.000
Rh: 0.239 0.239 0.500
Rh: 0.314 0.686 0.250
Rh: 0.686 0.314 0.750
Rh: 0.761 0.761 0.000
Rh: 0.761 0.761 0.500

calculated formation energy: -0.754 eV per atom

Entry 13:
# BPRu2

An optimized crystal structure of BPRu2 (PBE, Alexandria via LeMat-Bulk).

a = 6.000 Å, b = 6.000 Å, c = 6.000 Å
α = 131.04°, β = 131.04°, γ = 71.75°
Positions (direct):
B: 0.000 0.000 0.000
B: 0.750 0.250 0.500
P: 0.250 0.750 0.500
P: 0.500 0.500 0.000
Ru: 0.092 0.625 0.967
Ru: 0.375 0.342 0.467
Ru: 0.658 0.125 0.033
Ru: 0.875 0.908 0.533

calculated formation energy: 0.036 eV per atom

Entry 14:
# BPRu2

An optimized crystal structure of BPRu2 (PBE, Alexandria via LeMat-Bulk).

a = 3.992 Å, b = 3.992 Å, c = 3.992 Å
α = 60.00°, β = 60.00°, γ = 60.00°
Positions (direct):
B: 0.000 0.000 0.000
P: 0.500 0.500 0.500
Ru: 0.250 0.250 0.250
Ru: 0.750 0.750 0.750

calculated formation energy: -0.115 eV per atom

Entry 15:
# BP2Ru

An optimized crystal structure of BP2Ru (PBE, Alexandria via LeMat-Bulk).

a = 5.779 Å, b = 5.779 Å, c = 5.779 Å
α = 128.03°, β = 128.03°, γ = 76.57°
Positions (direct):
B: 0.000 0.000 0.000
B: 0.750 0.250 0.500
P: 0.075 0.625 0.950
P: 0.375 0.325 0.450
P: 0.675 0.125 0.050
P: 0.875 0.925 0.550
Ru: 0.250 0.750 0.500
Ru: 0.500 0.500 0.000

calculated formation energy: -0.103 eV per atom

Entry 16:
# B2PRu2

An optimized crystal structure of B2PRu2 (PBE, Alexandria via LeMat-Bulk).

a = 6.511 Å, b = 6.511 Å, c = 6.511 Å
α = 154.06°, β = 154.06°, γ = 37.01°
Positions (direct):
B: 0.250 0.750 0.500
B: 0.750 0.250 0.500
P: 0.000 0.000 0.000
Ru: 0.384 0.384 0.000
Ru: 0.616 0.616 0.000

calculated formation energy: -0.244 eV per atom

Entry 17:
# B2PRu

An optimized crystal structure of B2PRu (PBE, Alexandria via LeMat-Bulk).

a = 5.510 Å, b = 5.510 Å, c = 5.510 Å
α = 128.52°, β = 128.52°, γ = 75.79°
Positions (direct):
B: 0.106 0.625 0.981
B: 0.375 0.356 0.481
B: 0.644 0.125 0.019
B: 0.875 0.894 0.519
P: 0.000 0.000 0.000
P: 0.750 0.250 0.500
Ru: 0.250 0.750 0.500
Ru: 0.500 0.500 0.000

calculated formation energy: 0.309 eV per atom

Entry 18:
# BPRu3

An optimized crystal structure of BPRu3 (PBE, Alexandria via LeMat-Bulk).

a = 4.035 Å, b = 4.035 Å, c = 4.035 Å
α = 90.00°, β = 90.00°, γ = 90.00°
Positions (direct):
B: 0.000 0.000 0.000
P: 0.500 0.500 0.500
Ru: 0.000 0.000 0.500
Ru: 0.000 0.500 0.000
Ru: 0.500 0.000 0.000

calculated formation energy: 0.302 eV per atom

Entry 19:
# BP2RuS

An optimized crystal structure of BP2RuS (PBE, Alexandria via LeMat-Bulk).

a = 4.409 Å, b = 4.409 Å, c = 5.177 Å
α = 90.00°, β = 90.00°, γ = 90.00°
Positions (direct):
B: 0.000 0.000 0.000
P: 0.000 0.500 0.500
P: 0.500 0.000 0.500
Ru: 0.500 0.500 0.500
S: 0.500 0.500 0.000

formation energy (no corrections): 1.38 eV/atom

Entry 20:
# BP2RuS

An optimized crystal structure of BP2RuS (PBE, Alexandria via LeMat-Bulk).

a = 3.975 Å, b = 3.975 Å, c = 4.127 Å
α = 90.00°, β = 90.00°, γ = 90.00°
Positions (direct):
B: 0.000 0.000 0.000
P: 0.000 0.500 0.000
P: 0.500 0.000 0.000
Ru: 0.500 0.500 0.500
S: 0.000 0.000 0.500

formation energy (no corrections): 0.85 eV/atom

Entry 21:
# TcBP2Ru

An optimized crystal structure of TcBP2Ru (PBE, Alexandria via LeMat-Bulk).

a = 4.323 Å, b = 4.323 Å, c = 5.356 Å
α = 90.00°, β = 90.00°, γ = 90.00°
Positions (direct):
Tc: 0.000 0.000 0.000
B: 0.500 0.500 0.000
P: 0.000 0.500 0.500
P: 0.500 0.000 0.500
Ru: 0.000 0.000 0.500

calculated formation energy: 1.662 eV per atom

Entry 22:
# BPRu2W

An optimized crystal structure of BPRu2W (PBE, Alexandria via LeMat-Bulk).

a = 4.237 Å, b = 4.237 Å, c = 4.492 Å
α = 90.00°, β = 90.00°, γ = 90.00°
Positions (direct):
B: 0.000 0.000 0.000
P: 0.500 0.500 0.500
Ru: 0.000 0.500 0.500
Ru: 0.500 0.000 0.500
W: 0.500 0.500 0.000

calculated formation energy: 1.383 eV per atom

Entry 23:
# BPS

An optimized crystal structure of BPS (PBE, Alexandria via LeMat-Bulk).

a = 5.414 Å, b = 5.414 Å, c = 10.560 Å
α = 114.19°, β = 114.19°, γ = 33.20°
Positions (direct):
B: 0.000 0.000 0.000
B: 0.002 0.002 0.842
P: 0.493 0.493 0.749
P: 0.528 0.528 0.555
S: 0.499 0.499 0.098
S: 0.882 0.882 0.441

formation energy (no corrections): -0.01 eV/atom

Entry 24:
# BPS

An optimized crystal structure of BPS (PBE, Alexandria via LeMat-Bulk).

a = 3.326 Å, b = 4.752 Å, c = 6.441 Å
α = 90.00°, β = 92.33°, γ = 90.00°
Positions (direct):
B: 0.000 0.190 0.000
B: 0.000 0.810 0.000
P: 0.508 0.271 0.162
P: 0.508 0.729 0.162
S: 0.057 0.500 0.808
S: 0.580 0.000 0.425

formation energy (no corrections): 0.00 eV/atom

Entry 25:
# BPS

An optimized crystal structure of BPS (PBE, Alexandria via LeMat-Bulk).

a = 3.095 Å, b = 4.862 Å, c = 9.523 Å
α = 94.37°, β = 90.02°, γ = 90.34°
Positions (direct):
B: 0.000 0.000 0.000
B: 0.002 0.153 0.164
P: 0.503 0.220 0.260
P: 0.505 0.485 0.461
S: 0.003 0.285 0.571
S: 0.499 0.907 0.899

formation energy (no corrections): -0.01 eV/atom

Entry 26:
# BPS

An optimized crystal structure of BPS (PBE, Alexandria via LeMat-Bulk).

a = 3.149 Å, b = 6.139 Å, c = 7.146 Å
α = 109.80°, β = 90.36°, γ = 104.85°
Positions (direct):
B: 0.000 0.000 0.000
B: 0.119 0.240 0.923
P: 0.281 0.558 0.133
P: 0.420 0.841 0.999
S: 0.642 0.290 0.781
S: 0.824 0.637 0.350

formation energy (no corrections): -0.05 eV/atom